First-principles (PBE-GGA) data for an optimized crystal structure of Tb3Pr2Cd2, as listed in the Alexandria database.

Its energy of formation from the pure elements is -0.14 eV per atom. As for the total moment: 0.0 μB per formula unit. The crystal system is trigonal. The value obtained for the electronic total energy is -3.76 eV/atom.

Cell: 5.4957 5.4957 24.3347 Å, 90.00 90.00 120.00°
Space group R-3m (No. 166, hexagonal axes)
Symmetry-distinct sites (fractional):
Tb 0.0000 0.0000 0.0000 x3
Tb 0.0000 0.0000 0.1565 x6
Pr 0.0000 0.0000 0.4249 x6
Cd 0.0000 0.0000 0.2875 x6

***

First-principles (PBE-GGA) data for an optimized crystal structure of CuAg2Au8, as listed in the Alexandria database.

Its energy of formation from the pure elements is 0.01 eV per atom. As for the total moment: 0.0 μB per formula unit. The crystal system is tetragonal. The value obtained for the electronic total energy is -3.26 eV/atom.

Cell: 4.1199 4.1199 11.7621 Å, 90.00 90.00 90.00°
Space group P4/mmm (No. 123)
Symmetry-distinct sites (fractional):
Cu 0.0000 0.0000 0.0000 x1
Ag 0.0000 0.0000 0.3184 x2
Au 0.0000 0.5000 0.1379 x4
Au 0.0000 0.5000 0.5000 x2
Au 0.5000 0.5000 0.3198 x2

***

First-principles (PBE-GGA) data for an optimized crystal structure of PuTe2H, as listed in the Alexandria database.

As for the total moment: 6.2 μB per formula unit. The crystal system is trigonal. The value obtained for the electronic total energy is -5.51 eV/atom.

Cell: 3.3551 3.3551 28.3703 Å, 90.00 90.00 120.00°
Space group R-3m (No. 166, hexagonal axes)
Symmetry-distinct sites (fractional):
Pu 0.0000 0.0000 0.0000 x3
Te 0.0000 0.0000 0.1084 x6
H 0.0000 0.0000 0.5000 x3

***

First-principles (PBE-GGA) data for an optimized crystal structure of BeZnTe2, as listed in the Alexandria database.

As for the total moment: 0.0 μB per formula unit. Its formation energy from raw total energies is -243 meV/atom. The crystal system is monoclinic. The value obtained for the electronic total energy is -3.06 eV/atom.

Cell: 4.1167 4.1146 6.9041 Å, 90.00 90.16 90.00°
Space group Pm (No. 6)
Symmetry-distinct sites (fractional):
Be 0.0000 0.0000 0.0000 x1
Zn 0.5010 0.5000 0.0003 x1
Te 0.0025 0.5000 0.2354 x1
Te 0.5003 0.0000 0.7649 x1

***

First-principles (PBE-GGA) data for an optimized crystal structure of Pu6Ir2Ru, as listed in the Alexandria database.

Its energy of formation from the pure elements is 0.05 eV per atom. As for the total moment: 0.0 μB per formula unit. The crystal system is trigonal. The value obtained for the electronic total energy is -12.50 eV/atom.

Cell: 7.8309 7.8309 2.7820 Å, 90.00 90.00 120.00°
Space group P-31m (No. 162)
Symmetry-distinct sites (fractional):
Pu 0.0000 0.3239 0.0825 x6
Ir 0.3333 0.6667 0.5000 x2
Ru 0.0000 0.0000 0.5000 x1

***

First-principles (PBE-GGA) data for an optimized crystal structure of YTmZr2P4, as listed in the Alexandria database.

Its energy of formation from the pure elements is -1.48 eV per atom. As for the total moment: 0.0 μB per formula unit. The crystal system is monoclinic. The value obtained for the electronic total energy is -7.69 eV/atom.

Cell: 6.6452 3.8333 6.7253 Å, 90.00 109.28 90.00°
Space group P2/m (No. 10)
Symmetry-distinct sites (fractional):
Y 0.0000 0.0000 0.0000 x1
Tm 0.5000 0.5000 0.0000 x1
Zr 0.0000 0.5000 0.5000 x1
Zr 0.5000 0.0000 0.5000 x1
P 0.2481 0.0000 0.7385 x2
P 0.2563 0.5000 0.2630 x2